The following is a DFT calculation (PBE) of a relaxed structure of Y2InNi.

Summary:
The value obtained for the energy relative to the elements is -0.03 eV per atom. For the volume, the calculation gives 22.29 Å³ per atom.

abc: 7.091 7.091 7.091
angles: 90.00 90.00 90.00
Space group F-43m (No. 216)
Inequivalent atoms, fractional coordinates:
Y (0.000, 0.000, 0.000) [4 per cell]
Y (0.250, 0.250, 0.250) [4 per cell]
In (0.000, 0.000, 0.500) [4 per cell]
Ni (0.250, 0.250, 0.750) [4 per cell]